Model 1:
ZnAuNF2 | GGA-PBE | relaxed

a = 3.6722 Å, b = 3.6722 Å, c = 6.2521 Å
α = 90.00°, β = 90.00°, γ = 90.00°
Fractional coordinates of all 5 atoms:
Zn (0.0000, 0.0000, 0.0000)
Au (0.0000, 0.0000, 0.5000)
N (0.5000, 0.5000, 0.5000)
F (0.0000, 0.5000, 0.0000)
F (0.5000, 0.0000, 0.0000)

---

Model 2:
ZnAuNF2 | GGA-PBE | relaxed

a = 3.7732 Å, b = 3.7732 Å, c = 4.5756 Å
α = 90.00°, β = 90.00°, γ = 90.00°
Fractional coordinates of all 5 atoms:
Zn (0.0000, 0.0000, 0.0000)
Au (0.5000, 0.5000, 0.5000)
N (0.0000, 0.0000, 0.5000)
F (0.0000, 0.5000, 0.0000)
F (0.5000, 0.0000, 0.0000)

---

Least stable: model 2

---

Model 1:
Na2Au2F | GGA-PBE | relaxed

a = 5.4673 Å, b = 5.4673 Å, c = 5.4673 Å
α = 115.99°, β = 115.99°, γ = 97.09°
Fractional coordinates of all 5 atoms:
Na (0.2500, 0.7500, 0.5000)
Na (0.7500, 0.2500, 0.5000)
Au (0.1788, 0.1788, 0.0000)
Au (0.8212, 0.8212, 0.0000)
F (0.5000, 0.5000, 0.0000)

---

Model 2:
Na2Au2F | GGA-PBE | relaxed

a = 7.6871 Å, b = 7.6871 Å, c = 3.7724 Å
α = 90.00°, β = 90.00°, γ = 90.00°
Fractional coordinates of all 10 atoms:
Na (0.1781, 0.3219, 0.0000)
Na (0.3219, 0.8219, 0.0000)
Na (0.6781, 0.1781, 0.0000)
Na (0.8219, 0.6781, 0.0000)
Au (0.1230, 0.6230, 0.5000)
Au (0.3770, 0.1230, 0.5000)
Au (0.6230, 0.8770, 0.5000)
Au (0.8770, 0.3770, 0.5000)
F (0.0000, 0.0000, 0.5000)
F (0.5000, 0.5000, 0.5000)

---

Least stable: model 2

---

Model 1:
NaAuF3 | GGA-PBE | relaxed

a = 4.1430 Å, b = 4.1430 Å, c = 4.1430 Å
α = 90.00°, β = 90.00°, γ = 90.00°
Fractional coordinates of all 5 atoms:
Na (0.0000, 0.0000, 0.0000)
Au (0.5000, 0.5000, 0.5000)
F (0.0000, 0.0000, 0.5000)
F (0.0000, 0.5000, 0.0000)
F (0.5000, 0.0000, 0.0000)

---

Model 2:
NaAuF3 | GGA-PBE | relaxed

a = 7.1524 Å, b = 6.8319 Å, c = 7.6116 Å
α = 90.00°, β = 120.39°, γ = 90.00°
Fractional coordinates of all 20 atoms:
Na (0.1145, 0.1766, 0.4465)
Na (0.1145, 0.3234, 0.9465)
Na (0.8855, 0.6766, 0.0535)
Na (0.8855, 0.8234, 0.5535)
Au (0.3935, 0.6368, 0.5278)
Au (0.3935, 0.8632, 0.0278)
Au (0.6065, 0.1368, 0.9722)
Au (0.6065, 0.3632, 0.4722)
F (0.1118, 0.5017, 0.3623)
F (0.1118, 0.9983, 0.8623)
F (0.2147, 0.6395, 0.0647)
F (0.2147, 0.8605, 0.5647)
F (0.3356, 0.2146, 0.2985)
F (0.3356, 0.2854, 0.7985)
F (0.6644, 0.7146, 0.2015)
F (0.6644, 0.7854, 0.7015)
F (0.7853, 0.1395, 0.4353)
F (0.7853, 0.3605, 0.9353)
F (0.8882, 0.0017, 0.1377)
F (0.8882, 0.4983, 0.6377)

---

Model 3:
NaAuF3 | GGA-PBE | relaxed

a = 3.2616 Å, b = 6.0753 Å, c = 8.4640 Å
α = 95.24°, β = 100.95°, γ = 97.91°
Fractional coordinates of all 10 atoms:
Na (0.1610, 0.0043, 0.2915)
Na (0.8390, 0.9957, 0.7085)
Au (0.0000, 0.5000, 0.5000)
Au (0.5000, 0.5000, 0.0000)
F (0.2119, 0.8314, 0.5377)
F (0.4466, 0.2625, 0.8141)
F (0.4989, 0.2550, 0.1398)
F (0.5011, 0.7450, 0.8602)
F (0.5534, 0.7375, 0.1859)
F (0.7881, 0.1686, 0.4623)

---

Least stable: model 1